[1]
A plane-wave DFT calculation with GGA-PBE was carried out for Tb2DyCu6 after structural relaxation.

* total moment: 0.000 μB per atom
* ΔE_f: -25.00 kJ per mole of atoms
* symmetry: No. 191
* E: -40.77 eV/cell

```
data_Tb2DyCu6
_chemical_formula_sum 'Tb2 Dy1 Cu6'
_symmetry_space_group_name_H-M 'P 1'
_symmetry_Int_Tables_number 1
_symmetry_space_group_name_Hall 'P 1'
_cell_length_a 7.3301
_cell_length_b 7.3301
_cell_length_c 3.5769
_cell_angle_alpha 90.00
_cell_angle_beta 90.00
_cell_angle_gamma 120.00
loop_
_atom_site_label
_atom_site_fract_x
_atom_site_fract_y
_atom_site_fract_z
Tb1 0.3333 0.6667 0.0000
Tb2 0.6667 0.3333 0.0000
Dy1 0.0000 0.0000 0.0000
Cu1 0.0000 0.3330 0.5000
Cu2 0.0000 0.6670 0.5000
Cu3 0.3330 0.0000 0.5000
Cu4 0.3330 0.3330 0.5000
Cu5 0.6670 0.0000 0.5000
Cu6 0.6670 0.6670 0.5000
```

=====

[2]
A plane-wave DFT calculation with GGA-PBE was carried out for KBaCu2F8 after structural relaxation.

* total moment: 0.084 μB per atom
* formation energy from raw total energies: -2.29 eV per atom
* symmetry: No. 82
* E: -53.64 eV/cell

```
data_KBaCu2F8
_chemical_formula_sum 'K1 Ba1 Cu2 F8'
_symmetry_space_group_name_H-M 'P 1'
_symmetry_Int_Tables_number 1
_symmetry_space_group_name_Hall 'P 1'
_cell_length_a 6.7295
_cell_length_b 6.7295
_cell_length_c 6.7295
_cell_angle_alpha 127.36
_cell_angle_beta 127.36
_cell_angle_gamma 77.67
loop_
_atom_site_label
_atom_site_fract_x
_atom_site_fract_y
_atom_site_fract_z
K1 0.0000 0.0000 0.0000
Ba1 0.2500 0.7500 0.5000
Cu1 0.5000 0.5000 0.0000
Cu2 0.7500 0.2500 0.5000
F1 0.0268 0.3337 0.8919
F2 0.2234 0.4367 0.6236
F3 0.4001 0.7766 0.2132
F4 0.4418 0.1349 0.1081
F5 0.5633 0.1869 0.7868
F6 0.6663 0.5582 0.6931
F7 0.8131 0.5999 0.3764
F8 0.8651 0.9732 0.3069
```

=====

[3]
A plane-wave DFT calculation with GGA-PBE was carried out for MgZrCr after structural relaxation.

* total moment: 0.040 μB per atom
* ΔE_f: 16.43 kJ per mole of atoms
* energy above the most stable polymorph in this dataset: 0.118 eV per atom
* symmetry: No. 8
* E: -38.51 eV/cell

```
data_MgZrCr
_chemical_formula_sum 'Mg2 Zr2 Cr2'
_symmetry_space_group_name_H-M 'P 1'
_symmetry_Int_Tables_number 1
_symmetry_space_group_name_Hall 'P 1'
_cell_length_a 5.4836
_cell_length_b 5.4836
_cell_length_c 7.3909
_cell_angle_alpha 109.87
_cell_angle_beta 109.87
_cell_angle_gamma 33.02
loop_
_atom_site_label
_atom_site_fract_x
_atom_site_fract_y
_atom_site_fract_z
Mg1 0.0000 0.0000 0.0000
Mg2 0.6808 0.6808 0.8353
Zr1 0.0339 0.0339 0.4384
Zr2 0.3405 0.3405 0.5916
Cr1 0.3376 0.3376 0.1710
Cr2 0.7187 0.7187 0.2694
```

=====

- Which of these has the highest total moment?
  KBaCu2F8